Computed, not measured: ScGa3Cu after structural relaxation at the GGA-PBE level of DFT.

Cell lengths 4.6156, 4.6156, 4.6156 Å; angles 90.00, 90.00, 90.00 degrees
Fractional positions:
1 Ga 0.0000 0.0000 0.5000
2 Ga 0.0000 0.5000 0.0000
3 Sc 0.5000 0.5000 0.5000
4 Ga 0.5000 0.0000 0.0000
5 Cu 0.0000 0.0000 0.0000

Values from the calculation:
**E_form**: 0.05 eV per atom
**Relative energy among the computed polymorphs**: 373.2 meV per atom
**VASP energy**: -3.8498 eV per atom
**Total magnetic moment**: 0.000 μB/atom